DFT (PBE-GGA) results for crystalline Mg2PbSe at its relaxed geometry.

Crystal system: monoclinic
Symmetry: C2/m, No. 12
E above lowest polymorph: 1.35 eV/f.u.
D(E_F): 1.06 states/eV per cell
Raw formation energy: -0.27 eV per atom
Total DFT energy (no corrections): -2.863 eV/atom

Unit cell a=5.1585 b=5.1585 c=3.6468 alpha=85.88 beta=85.88 gamma=101.80
Atoms (fractional coordinates):
Mg  0.0000  0.0000  0.0000
Mg  0.5000  0.5000  0.0000
Se  0.0000  0.5000  0.5000
Pb  0.5000  0.0000  0.5000


DFT (PBE-GGA) results for crystalline Sr4ZrCr at its relaxed geometry.

Crystal system: cubic
Symmetry: F-43m, No. 216
D(E_F): 13.06 states/eV per cell
Total DFT energy (no corrections): -3.065 eV/atom

Unit cell a=7.0519 b=7.0519 c=7.0519 alpha=60.00 beta=60.00 gamma=60.00
Last column: magnetic moment on the atom in μB.
Atoms (fractional coordinates):
Zr  0.7500  0.7500  0.7500  1.23
Sr  0.3757  0.8729  0.3757  0.07
Sr  0.3757  0.3757  0.3757  0.07
Sr  0.8729  0.3757  0.3757  0.07
Sr  0.3757  0.3757  0.8729  0.07
Cr  0.0000  0.0000  0.0000  4.09


DFT (PBE-GGA) results for crystalline Er3Zn8In at its relaxed geometry.

Crystal system: trigonal
Symmetry: R3m, No. 160
D(E_F): 5.12 states/eV per cell
Total DFT energy (no corrections): -2.488 eV/atom

Unit cell a=5.4553 b=5.4553 c=9.2974 alpha=72.94 beta=72.94 gamma=60.00
Atoms (fractional coordinates):
Er  0.9956  0.9956  0.0131
Er  0.3768  0.3768  0.8695
Er  0.5024  0.5024  0.4927
In  0.8728  0.8728  0.3816
Zn  0.4306  0.9396  0.6903
Zn  0.9396  0.9396  0.6903
Zn  0.9385  0.4393  0.1829
Zn  0.1871  0.1871  0.4387
Zn  0.4393  0.9385  0.1829
Zn  0.9396  0.4306  0.6903
Zn  0.4393  0.4393  0.1829
Zn  0.6884  0.6884  0.9349